No. 1
## Ba4Cu3SeO6 (GGA-PBE)

Data for an optimized crystal structure of Ba4Cu3SeO6.

Values from the calculation:
The value obtained for the uncorrected formation energy is -1.68 eV per atom.

Lattice parameters (Å, degrees): 7.9406 7.9406 7.9406 90.00 90.00 90.00
Space group Im-3m (No. 229)
Unique sites:
Ba  0.2500  0.2500  0.2500 [8 per cell]
Cu  0.0000  0.0000  0.5000 [6 per cell]
Se  0.0000  0.0000  0.0000 [2 per cell]
O  0.0000  0.2500  0.5000 [12 per cell]

No. 2
## LiCeDy2Hg4 (GGA-PBE)

Data for an optimized crystal structure of LiCeDy2Hg4.

Values from the calculation:
The formation energy comes out at -0.395 eV/atom.

Lattice parameters (Å, degrees): 5.1471 5.1471 26.2968 90.00 90.00 120.00
Space group R-3m (No. 166, hexagonal axes)
Unique sites:
Li  0.0000  0.0000  0.0000 [3 per cell]
Ce  0.0000  0.0000  0.5000 [3 per cell]
Dy  0.0000  0.0000  0.2558 [6 per cell]
Hg  0.0000  0.0000  0.1172 [6 per cell]
Hg  0.0000  0.0000  0.3729 [6 per cell]

No. 3
## KIrNO2 (GGA-PBE)

Data for an optimized crystal structure of KIrNO2.

Values from the calculation:
The value obtained for the uncorrected formation energy is -0.31 eV per atom.

Lattice parameters (Å, degrees): 4.0636 4.0636 3.7837 90.00 90.00 90.00
Space group P4/mmm (No. 123)
Unique sites:
K  0.0000  0.0000  0.0000 [1 per cell]
Ir  0.5000  0.5000  0.5000 [1 per cell]
N  0.5000  0.5000  0.0000 [1 per cell]
O  0.0000  0.5000  0.5000 [2 per cell]

No. 4
## Mn2TlAuI (GGA-PBE)

Data for an optimized crystal structure of Mn2TlAuI.

Values from the calculation:
The value obtained for the uncorrected formation energy is 1.14 eV per atom.

Lattice parameters (Å, degrees): 5.2702 5.2702 6.1595 90.00 90.00 90.00
Space group P4/mmm (No. 123)
Unique sites:
Mn  0.0000  0.5000  0.0000 [2 per cell]
Tl  0.0000  0.0000  0.0000 [1 per cell]
Au  0.5000  0.5000  0.5000 [1 per cell]
I  0.0000  0.0000  0.5000 [1 per cell]

No. 5
## Li2Ca2Al5Ag (GGA-PBE)

Data for an optimized crystal structure of Li2Ca2Al5Ag.

Values from the calculation:
The formation energy comes out at -0.142 eV/atom.

Lattice parameters (Å, degrees): 9.3922 9.3922 4.4046 90.00 90.00 90.00
Space group P4/mbm (No. 127)
Unique sites:
Li  0.1112  0.3888  0.0000 [4 per cell]
Ca  0.1829  0.6829  0.0000 [4 per cell]
Al  0.0000  0.5000  0.5000 [2 per cell]
Al  0.0561  0.2034  0.5000 [8 per cell]
Ag  0.0000  0.0000  0.0000 [2 per cell]

No. 6
## La10CeNd4 (GGA-PBE)

Data for an optimized crystal structure of La10CeNd4.

Values from the calculation:
The formation energy comes out at 0.257 eV/atom.

Lattice parameters (Å, degrees): 10.0210 10.0210 10.6075 90.00 90.00 90.00
Space group I4/m (No. 87)
Unique sites:
La  0.0000  0.5000  0.2500 [4 per cell]
La  0.1184  0.1991  0.1574 [16 per cell]
Ce  0.0000  0.0000  0.5000 [2 per cell]
Nd  0.0456  0.3179  0.5000 [8 per cell]

No. 7
## Na2La2Pb (GGA-PBE)

Data for an optimized crystal structure of Na2La2Pb.

Values from the calculation:
The formation energy comes out at -0.022 eV/atom.

Lattice parameters (Å, degrees): 4.3061 4.3061 19.5352 90.00 90.00 90.00
Space group I4/mmm (No. 139)
Unique sites:
Na  0.0000  0.5000  0.2500 [4 per cell]
La  0.0000  0.0000  0.0795 [4 per cell]
Pb  0.0000  0.0000  0.5000 [2 per cell]

No. 8
## TbHg2Bi (GGA-PBE)

Data for an optimized crystal structure of TbHg2Bi.

Values from the calculation:
The formation energy comes out at -0.414 eV/atom.

Lattice parameters (Å, degrees): 4.5537 4.5537 5.0659 90.00 90.00 90.00
Space group P4/mmm (No. 123)
Unique sites:
Tb  0.0000  0.0000  0.0000 [1 per cell]
Hg  0.0000  0.5000  0.5000 [2 per cell]
Bi  0.5000  0.5000  0.0000 [1 per cell]